The following is a DFT calculation (GGA-PBEsol) of Li3Ni4SbO8 after structural relaxation.

Cell: 5.853 5.853 5.902 Å, 91.04 119.57 118.95°
Fractional positions:
Li 0.500 0.000 0.500
Li 0.500 0.000 0.000
O 0.985 0.750 0.734
Sb 0.500 0.500 0.000
Li 0.000 0.500 0.000
O 0.981 0.740 0.240
O 0.505 0.741 0.247
Ni 0.000 0.000 0.000
O 0.500 0.741 0.760
Ni 0.000 0.500 0.500
O 0.015 0.250 0.266
O 0.019 0.260 0.760
Ni 0.500 0.500 0.500
O 0.500 0.259 0.240
O 0.495 0.259 0.753
Ni 0.000 0.000 0.500

formation energy (no corrections) = -1225 meV/atom
E_tot = -96.7 eV per cell